# 1
VASP calculation (PBE) on an optimized crystal structure of NaSn7Pd4.

## Properties
Space-group type: No. 12
Size of the total moment (μB per formula unit): 0.00
VASP energy (eV per atom): -4.38

a b c (Å): 6.976 6.976 10.388
angles (deg): 124.92 124.92 43.47
Atoms (fractional coordinates):
Na  0.000  0.000  0.000
Sn  0.093  0.093  0.364
Sn  0.209  0.209  0.884
Sn  0.346  0.346  0.399
Sn  0.500  0.500  0.000
Sn  0.654  0.654  0.601
Sn  0.791  0.791  0.116
Sn  0.907  0.907  0.636
Pd  0.288  0.288  0.692
Pd  0.451  0.451  0.234
Pd  0.549  0.549  0.766
Pd  0.712  0.712  0.308


# 2
VASP calculation (PBE) on an optimized crystal structure of FeSnSeN2.

## Properties
Space-group type: No. 123
Size of the total moment (μB per formula unit): 3.01
Excess energy over the best structure of this formula in the dataset (eV/f.u.): 3.62
Uncorrected formation energy (eV per atom): 1.52

a b c (Å): 4.122 4.122 5.764
angles (deg): 90.00 90.00 90.00
Atoms (fractional coordinates):
Fe  0.000  0.000  0.000
Sn  0.500  0.500  0.500
Se  0.500  0.500  0.000
N  0.000  0.500  0.500
N  0.500  0.000  0.500